Record 1
The following is a PBE calculation of a relaxed structure of Ac6Os2CBr3, from the Alexandria database.

Summary:
The total magnetization comes out at 0.00 μB per formula unit. The calculation puts the formation energy (no corrections) at -0.7109 eV/atom. The total energy is -5.82 eV per atom. Its volume is 386 Å³/f.u.

Cell lengths 7.398, 7.398, 8.516 Å; angles 98.38, 98.38, 119.96 degrees
Fractional positions:
Ac1 0.062 0.383 0.189
Ac2 0.258 0.258 0.812
Ac3 0.383 0.062 0.189
Ac4 0.617 0.938 0.811
Ac5 0.742 0.742 0.188
Ac6 0.938 0.617 0.811
Os1 0.333 0.667 0.000
Os2 0.667 0.333 0.000
C1 0.000 0.000 0.000
Br1 0.167 0.833 0.500
Br2 0.500 0.500 0.500
Br3 0.833 0.167 0.500

---

Record 2
The following is a PBE calculation of a relaxed structure of Ac4PtCBr2, from the Alexandria database.

Summary:
The total magnetization comes out at 0.00 μB per formula unit. The calculation puts the formation energy (no corrections) at -0.9407 eV/atom. The total energy is -5.32 eV per atom. Its volume is 254 Å³/f.u.

Cell lengths 7.619, 4.175, 8.379 Å; angles 90.00, 107.50, 90.00 degrees
Fractional positions:
Ac1 0.207 0.000 0.192
Ac2 0.252 0.500 0.807
Ac3 0.748 0.500 0.193
Ac4 0.793 0.000 0.808
Pt1 0.500 0.000 0.000
C1 0.000 0.500 0.000
Br1 0.000 0.000 0.500
Br2 0.500 0.500 0.500

---

Record 3
The following is a PBE calculation of a relaxed structure of Ac8Pt3CBr3, from the Alexandria database.

Summary:
The total magnetization comes out at 0.00 μB per formula unit. The calculation puts the formation energy (no corrections) at -0.9719 eV/atom. The total energy is -5.32 eV per atom. Its volume is 541 Å³/f.u.

Cell lengths 8.801, 8.801, 9.533 Å; angles 117.59, 117.59, 60.02 degrees
Fractional positions:
Ac1 0.221 0.221 0.691
Ac2 0.221 0.749 0.691
Ac3 0.251 0.779 0.309
Ac4 0.267 0.267 0.301
Ac5 0.733 0.733 0.699
Ac6 0.749 0.221 0.691
Ac7 0.779 0.251 0.309
Ac8 0.779 0.779 0.309
Pt1 0.000 0.500 0.500
Pt2 0.500 0.000 0.500
Pt3 0.500 0.500 0.500
C1 0.000 0.000 0.500
Br1 0.000 0.000 0.000
Br2 0.000 0.500 0.000
Br3 0.500 0.000 0.000

---

Record 4
The following is a PBE calculation of a relaxed structure of Ac6Rh2CBr2, from the Alexandria database.

Summary:
The total magnetization comes out at 0.00 μB per formula unit. The calculation puts the formation energy (no corrections) at -0.7465 eV/atom. The total energy is -5.47 eV per atom. Its volume is 381 Å³/f.u.

Cell lengths 7.392, 7.392, 8.411 Å; angles 99.01, 99.01, 119.36 degrees
Fractional positions:
Ac1 0.070 0.381 0.194
Ac2 0.252 0.252 0.810
Ac3 0.381 0.070 0.194
Ac4 0.619 0.930 0.806
Ac5 0.748 0.748 0.190
Ac6 0.930 0.619 0.806
Rh1 0.330 0.670 0.000
Rh2 0.670 0.330 0.000
C1 0.000 0.000 0.000
Br1 0.170 0.830 0.500
Br2 0.830 0.170 0.500

---

Record 5
The following is a PBE calculation of a relaxed structure of Ac6Rh2CBr3, from the Alexandria database.

Summary:
The total magnetization comes out at 0.00 μB per formula unit. The calculation puts the formation energy (no corrections) at -0.9602 eV/atom. The total energy is -5.43 eV per atom. Its volume is 390 Å³/f.u.

Cell lengths 7.405, 7.405, 8.561 Å; angles 98.26, 98.26, 119.97 degrees
Fractional positions:
Ac1 0.063 0.378 0.188
Ac2 0.253 0.253 0.812
Ac3 0.378 0.063 0.188
Ac4 0.622 0.937 0.812
Ac5 0.747 0.747 0.188
Ac6 0.937 0.622 0.812
Rh1 0.333 0.667 0.000
Rh2 0.667 0.333 0.000
C1 0.000 0.000 0.000
Br1 0.166 0.834 0.500
Br2 0.500 0.500 0.500
Br3 0.834 0.166 0.500

---

Record 6
The following is a PBE calculation of a relaxed structure of Ac8Rh3CBr3, from the Alexandria database.

Summary:
The total magnetization comes out at 0.42 μB per formula unit. The calculation puts the formation energy (no corrections) at -0.8347 eV/atom. The total energy is -5.45 eV per atom. Its volume is 528 Å³/f.u.

Cell lengths 8.629, 8.629, 9.591 Å; angles 116.70, 116.70, 59.94 degrees
Fractional positions:
Ac1 0.221 0.221 0.685
Ac2 0.221 0.744 0.686
Ac3 0.256 0.779 0.314
Ac4 0.267 0.267 0.301
Ac5 0.733 0.733 0.699
Ac6 0.744 0.221 0.686
Ac7 0.779 0.256 0.314
Ac8 0.779 0.779 0.315
Rh1 0.000 0.500 0.500
Rh2 0.500 0.000 0.500
Rh3 0.500 0.500 0.500
C1 0.000 0.000 0.500
Br1 0.000 0.000 0.000
Br2 0.000 0.500 0.000
Br3 0.500 0.000 0.000

---

Record 7
The following is a PBE calculation of a relaxed structure of Ac4RhCBr2, from the Alexandria database.

Summary:
The total magnetization comes out at 0.00 μB per formula unit. The calculation puts the formation energy (no corrections) at -0.8583 eV/atom. The total energy is -5.40 eV per atom. Its volume is 250 Å³/f.u.

Cell lengths 7.450, 4.155, 8.413 Å; angles 90.00, 106.14, 90.00 degrees
Fractional positions:
Ac1 0.216 0.000 0.188
Ac2 0.250 0.500 0.810
Ac3 0.750 0.500 0.190
Ac4 0.784 0.000 0.812
Rh1 0.500 0.000 0.000
C1 0.000 0.500 0.000
Br1 0.000 0.000 0.500
Br2 0.500 0.500 0.500

---

Record 8
The following is a PBE calculation of a relaxed structure of Ac8Si3CBr4, from the Alexandria database.

Summary:
The total magnetization comes out at 0.00 μB per formula unit. The calculation puts the formation energy (no corrections) at -0.9452 eV/atom. The total energy is -5.01 eV per atom. Its volume is 533 Å³/f.u.

Cell lengths 9.359, 9.359, 9.359 Å; angles 56.53, 56.53, 56.53 degrees
Fractional positions:
Ac1 0.238 0.238 0.238
Ac2 0.257 0.721 0.721
Ac3 0.279 0.279 0.743
Ac4 0.279 0.743 0.279
Ac5 0.721 0.257 0.721
Ac6 0.721 0.721 0.257
Ac7 0.743 0.279 0.279
Ac8 0.762 0.762 0.762
Si1 0.000 0.000 0.500
Si2 0.000 0.500 0.000
Si3 0.500 0.000 0.000
C1 0.500 0.500 0.500
Br1 0.000 0.000 0.000
Br2 0.000 0.500 0.500
Br3 0.500 0.000 0.500
Br4 0.500 0.500 0.000

---

Record 9
The following is a PBE calculation of a relaxed structure of AcTbCBr, from the Alexandria database.

Summary:
The total magnetization comes out at 0.00 μB per formula unit. The calculation puts the formation energy (no corrections) at -0.8196 eV/atom. The total energy is -5.73 eV per atom. Its volume is 98 Å³/f.u.

Cell lengths 3.820, 3.820, 8.024 Å; angles 103.72, 103.72, 60.02 degrees
Fractional positions:
Ac1 0.000 0.000 0.000
Tb1 0.211 0.211 0.634
C1 0.595 0.595 0.788
Br1 0.783 0.783 0.351

---

Record 10
The following is a PBE calculation of a relaxed structure of Ca2AcBr, from the Alexandria database.

Summary:
The total magnetization comes out at 0.00 μB per formula unit. The calculation puts the energy above the lowest structure with this stoichiometry at 0 meV/atom. The calculation puts the formation energy (no corrections) at -0.7054 eV/atom. The total energy is -3.15 eV per atom. Its volume is 146 Å³/f.u.

Cell lengths 11.054, 11.054, 11.054 Å; angles 20.54, 20.54, 20.54 degrees
Fractional positions:
Ca1 0.236 0.236 0.236
Ca2 0.764 0.764 0.764
Ac1 0.000 0.000 0.000
Br1 0.500 0.500 0.500

---

Record 11
The following is a PBE calculation of a relaxed structure of CaAcBr2, from the Alexandria database.

Summary:
The total magnetization comes out at 0.50 μB per formula unit. The calculation puts the formation energy (no corrections) at -1.2396 eV/atom. The total energy is -3.60 eV per atom. Its volume is 148 Å³/f.u.

Cell lengths 10.384, 10.384, 10.384 Å; angles 22.85, 22.85, 22.85 degrees
Fractional positions:
Ca1 0.000 0.000 0.000
Ac1 0.500 0.500 0.500
Br1 0.389 0.389 0.389
Br2 0.611 0.611 0.611

---

Record 12
The following is a PBE calculation of a relaxed structure of CaAcBr6, from the Alexandria database.

Summary:
The total magnetization comes out at 0.98 μB per formula unit. The calculation puts the formation energy (no corrections) at -1.6164 eV/atom. The total energy is -3.63 eV per atom. Its volume is 316 Å³/f.u.

Cell lengths 7.259, 7.284, 7.803 Å; angles 86.46, 63.68, 60.55 degrees
Fractional positions:
Ca1 0.000 0.000 0.000
Ac1 0.000 0.500 0.500
Br1 0.128 0.573 0.818
Br2 0.167 0.783 0.267
Br3 0.489 0.873 0.728
Br4 0.511 0.127 0.272
Br5 0.833 0.217 0.733
Br6 0.872 0.427 0.182

---

Which of these has the highest total magnetization?
CaAcBr6

---

What did the second record say?
The following is a PBE calculation of a relaxed structure of Ac4PtCBr2, from the Alexandria database.

Summary:
The total magnetization comes out at 0.00 μB per formula unit. The calculation puts the formation energy (no corrections) at -0.9407 eV/atom. The total energy is -5.32 eV per atom. Its volume is 254 Å³/f.u.

Cell lengths 7.619, 4.175, 8.379 Å; angles 90.00, 107.50, 90.00 degrees
Fractional positions:
Ac1 0.207 0.000 0.192
Ac2 0.252 0.500 0.807
Ac3 0.748 0.500 0.193
Ac4 0.793 0.000 0.808
Pt1 0.500 0.000 0.000
C1 0.000 0.500 0.000
Br1 0.000 0.000 0.500
Br2 0.500 0.500 0.500